(1)
The following is a DFT calculation (PBEsol) of an optimized crystal structure of LaCoTe2.

a b c (Å): 3.6815 3.6815 7.1243
angles (deg): 90.00 90.00 90.00
Closest atoms and distances in Å follow each position.
Space group P4/mmm (No. 123)
One atom of each set of equivalent atoms:
La 0.0000 0.0000 0.0000 [1 per cell]  8 Te 3.27, 2 Co 3.56
Co 0.0000 0.0000 0.5000 [1 per cell]  8 Te 3.05
Te 0.5000 0.5000 0.2782 [2 per cell]  4 Co 3.05, 1 Te 3.16, 4 La 3.27

Computed properties:
**VASP energy**: -5.28 eV/atom
**E_form (uncorrected)**: -5.72 kcal/mol of atoms

(2)
The following is a DFT calculation (PBEsol) of an optimized crystal structure of CaCrGa2Si.

a b c (Å): 5.2120 5.2120 5.1808
angles (deg): 90.00 90.00 90.00
Closest atoms and distances in Å follow each position.
Space group P4/mmm (No. 123)
One atom of each set of equivalent atoms:
Ca 0.0000 0.0000 0.0000 [1 per cell]  2 Si 2.59, 4 Ga 2.61
Cr 0.5000 0.5000 0.5000 [1 per cell]  8 Ga 3.67, 4 Si 3.69
Ga 0.0000 0.5000 0.0000 [2 per cell]  2 Ca 2.61
Si 0.0000 0.0000 0.5000 [1 per cell]  2 Ca 2.59

Computed properties:
**VASP energy**: -3.55 eV/atom
**E_form (uncorrected)**: 32.59 kcal/mol of atoms

(3)
The following is a DFT calculation (PBEsol) of an optimized crystal structure of LaTlIn2.

a b c (Å): 4.7140 4.7140 4.7424
angles (deg): 90.00 90.00 90.00
Closest atoms and distances in Å follow each position.
Space group P4/mmm (No. 123)
One atom of each set of equivalent atoms:
La 0.0000 0.0000 0.0000 [1 per cell]  4 Tl 3.33, 8 In 3.34
Tl 0.5000 0.5000 0.0000 [1 per cell]  4 La 3.33, 8 In 3.34
In 0.0000 0.5000 0.5000 [2 per cell]  4 In 3.33, 4 Tl 3.34, 4 La 3.34

Computed properties:
**VASP energy**: -3.96 eV/atom
**Calculated formation energy**: -0.475 eV per atom

(4)
The following is a DFT calculation (PBEsol) of an optimized crystal structure of Li5Mn5Sn2O12.

a b c (Å): 5.3223 9.1320 10.0425
angles (deg): 90.00 99.60 90.00
Closest atoms and distances in Å follow each position.
Space group C2 (No. 5)
One atom of each set of equivalent atoms:
Li 0.0000 0.0000 0.0000 [2 per cell]  6 O 2.14-2.27
Li 0.2430 0.8280 0.2425 [4 per cell]  6 O 2.09-2.25
Li 0.2493 0.9898 0.7580 [4 per cell]  6 O 2.12-2.26
Mn 0.0000 0.3340 0.0000 [2 per cell]  6 O 2.11-2.19
Mn 0.0000 0.4886 0.5000 [2 per cell]  6 O 2.12-2.20
Mn 0.0000 0.8248 0.5000 [2 per cell]  6 O 2.13-2.19
Mn 0.2370 0.1561 0.2416 [4 per cell]  5 O 2.07-2.16
Sn 0.0000 0.1570 0.5000 [2 per cell]  6 O 2.08-2.09
Sn 0.0000 0.6651 0.0000 [2 per cell]  6 O 2.08-2.10
O 0.1193 0.9978 0.3744 [4 per cell]  1 Sn 2.09, 3 Mn 2.13-2.20, 2 Li 2.18-2.21
O 0.1201 0.5001 0.8793 [4 per cell]  2 Mn 2.09-2.11, 1 Sn 2.10, 3 Li 2.14-2.19
O 0.1208 0.3170 0.3767 [4 per cell]  1 Sn 2.08, 3 Mn 2.16-2.19, 2 Li 2.23-2.26
O 0.1254 0.8171 0.8720 [4 per cell]  2 Mn 2.07-2.19, 1 Sn 2.08, 3 Li 2.10-2.27
O 0.1343 0.1692 0.8824 [4 per cell]  3 Li 2.09-2.21, 1 Sn 2.10, 2 Mn 2.11-2.16
O 0.1357 0.6561 0.3837 [4 per cell]  1 Sn 2.09, 2 Mn 2.12-2.13, 2 Li 2.24-2.25

Computed properties:
**VASP energy**: -7.05 eV/atom
**E_form (uncorrected)**: -37.46 kcal/mol of atoms

(5)
The following is a DFT calculation (PBEsol) of an optimized crystal structure of ReAg2Hg.

a b c (Å): 2.8247 2.8247 28.9171
angles (deg): 90.00 90.00 120.00
Closest atoms and distances in Å follow each position.
Space group R3m (No. 160, hexagonal axes)
One atom of each set of equivalent atoms:
Re 0.0000 0.0000 0.0000 [3 per cell]  3 Ag 2.82, 6 Re 2.82, 3 Hg 2.95
Ag 0.0000 0.0000 0.4941 [3 per cell]  9 Ag 2.82-2.86, 3 Hg 3.01
Ag 0.0000 0.0000 0.7461 [3 per cell]  3 Re 2.82, 9 Ag 2.82-2.86
Hg 0.0000 0.0000 0.2483 [3 per cell]  6 Hg 2.82, 3 Re 2.95, 3 Ag 3.01

Computed properties:
**VASP energy**: -4.70 eV/atom
**Calculated formation energy**: 0.429 eV per atom

(6)
The following is a DFT calculation (PBEsol) of an optimized crystal structure of YOsPt3.

a b c (Å): 4.8438 4.8438 4.8438
angles (deg): 90.00 90.00 90.00
Closest atoms and distances in Å follow each position.
Space group Pm-3m (No. 221)
One atom of each set of equivalent atoms:
Y 0.0000 0.0000 0.0000 [1 per cell]  6 Pt 2.42
Os 0.5000 0.5000 0.5000 [1 per cell]  12 Pt 3.43
Pt 0.0000 0.0000 0.5000 [3 per cell]  2 Y 2.42

Computed properties:
**VASP energy**: -5.98 eV/atom
**Calculated formation energy**: 2.007 eV per atom